Record 1
ScNb2Si | PBE | relaxed

Its space group is I-42d. The calculation puts the formation energy (no corrections) at 0.10 eV per atom.

extended XYZ file:
```
8
Lattice="7.646 0.000 0.000 0.000 7.646 0.000 3.823 3.823 2.637" Properties=species:S:1:pos:R:3 pbc="T T T"
Nb 5.368 1.911 0.659
Sc 7.646 3.823 1.318
Sc 0.000 0.000 0.000
Nb 2.278 5.734 0.659
Nb 9.557 9.191 1.978
Nb 5.734 6.101 1.978
Si 3.823 3.823 0.000
Si 3.823 7.646 1.318
```

Record 2
Sc2Nb3Si4 | PBE | relaxed

Its space group is P2_1/c. The calculation puts the formation energy (no corrections) at -0.83 eV per atom.

extended XYZ file:
```
18
Lattice="-4.892 -4.387 -1.466 5.611 -1.603 -3.693 2.178 -4.134 5.103" Properties=species:S:1:pos:R:3 pbc="T T T"
Si 0.792 -5.718 4.128
Si -2.611 -6.094 1.151
Nb 3.344 -3.054 -2.213
Si 5.507 -4.030 -1.207
Nb 1.693 -4.297 2.175
Nb 0.359 -2.995 -2.580
Si 4.155 -5.004 2.368
Nb 1.203 -5.827 -2.231
Sc -0.990 -4.133 0.156
Sc 3.886 -5.991 -0.213
Si 1.171 -6.176 0.373
Si 1.725 -3.948 -0.430
Si -1.259 -5.120 -2.424
Si 2.104 -4.406 -4.185
Nb -0.448 -7.070 2.156
Sc 1.782 -8.834 -0.144
Sc 1.114 -1.290 0.088
Nb 3.894 -2.868 0.705
```

Record 3
Sc2NbSi2Tc5 | PBE | relaxed

Its space group is P4/mbm. The calculation puts the formation energy (no corrections) at -0.40 eV per atom.

extended XYZ file:
```
20
Lattice="3.333 0.000 0.000 0.000 9.798 0.000 0.000 0.000 9.798" Properties=species:S:1:pos:R:3 pbc="T T T"
Tc 1.667 6.882 4.242
Tc 1.667 7.815 9.141
Sc 0.000 8.129 6.569
Si 0.000 1.253 6.153
Tc 1.667 1.983 0.657
Si 0.000 6.153 8.545
Sc 0.000 3.229 8.129
Si 0.000 8.545 3.646
Tc 1.667 0.000 4.899
Si 0.000 3.646 1.253
Sc 0.000 6.569 1.670
Tc 1.667 5.556 6.882
Nb 0.000 4.899 4.899
Tc 1.667 9.141 1.983
Tc 1.667 4.899 0.000
Tc 1.667 0.657 7.815
Sc 0.000 1.670 3.229
Tc 1.667 4.242 2.916
Nb 0.000 0.000 0.000
Tc 1.667 2.916 5.556
```

Record 4
ScNb2TlSi | PBE | relaxed

Its space group is P4/mmm. The calculation puts the formation energy (no corrections) at 1.65 eV per atom.

extended XYZ file:
```
5
Lattice="-3.577 -0.606 3.172 -2.386 -2.695 -3.205 2.388 -4.332 1.866" Properties=species:S:1:pos:R:3 pbc="T T T"
Si -1.787 -3.817 0.917
Nb -1.193 -1.348 -1.602
Nb -1.788 -0.303 1.586
Tl 1.194 -2.166 0.933
Sc 0.000 0.000 0.000
```

Record 5
ScNbZn2Si | PBE | relaxed

Its space group is P4/mmm. The calculation puts the formation energy (no corrections) at 0.39 eV per atom.

extended XYZ file:
```
5
Lattice="4.525 0.000 0.000 0.000 4.828 0.000 0.000 0.000 4.525" Properties=species:S:1:pos:R:3 pbc="T T T"
Zn 2.263 0.000 0.000
Sc 2.263 2.414 2.263
Si 0.000 0.000 0.000
Zn 0.000 0.000 2.263
Nb 0.000 2.414 0.000
```

Record 6
SmThScNb | PBE | relaxed

The uncorrected energy comes out at -27.66 eV per cell. Its space group is F-43m.

extended XYZ file:
```
4
Lattice="5.274 0.000 0.000 2.637 4.567 0.000 2.637 1.522 4.306" Properties=species:S:1:pos:R:3 pbc="T T T"
Sc 0.000 0.000 0.000
Sm 7.911 4.567 3.230
Nb 5.274 3.045 2.153
Th 2.637 1.522 1.077
```

Record 7
Sc2NbSn | PBE | relaxed

The uncorrected energy comes out at -27.20 eV per cell. Its space group is R-3m.

extended XYZ file:
```
4
Lattice="3.227 0.000 0.000 1.614 2.795 0.000 1.614 0.932 9.764" Properties=species:S:1:pos:R:3 pbc="T T T"
Sn 0.000 0.000 0.000
Sc 1.614 0.932 2.521
Sc 4.841 2.795 7.243
Nb 3.227 1.863 4.882
```

Record 8
Sc3NbSn | PBE | relaxed

The uncorrected energy comes out at -28.83 eV per cell. Its space group is Pm-3m.

extended XYZ file:
```
5
Lattice="-0.554 -4.948 1.778 4.686 -1.276 -2.090 2.385 1.357 4.519" Properties=species:S:1:pos:R:3 pbc="T T T"
Sc 2.343 -0.638 -1.045
Sn 0.000 0.000 0.000
Nb 3.259 -2.433 2.103
Sc -0.277 -2.474 0.889
Sc 1.193 0.678 2.260
```